No. 1
# LiSiPt2 PBE optimized geometry
data_LiSiPt2
_cell_length_a 4.8881
_cell_length_b 4.8881
_cell_length_c 4.8881
_cell_angle_alpha 136.40
_cell_angle_beta 136.40
_cell_angle_gamma 63.36
_symmetry_space_group_name_H-M 'P 1'
_symmetry_Int_Tables_number 1
loop_
_symmetry_equiv_pos_as_xyz
'x,y,z'
loop_
_atom_site_label
_atom_site_type_symbol
_atom_site_fract_x
_atom_site_fract_y
_atom_site_fract_z
Li1 Li 0.7500 0.2500 0.5000
Pt1 Pt 0.0000 0.0000 0.0000
Pt2 Pt 0.2500 0.7500 0.5000
Si1 Si 0.5000 0.5000 0.0000
# * crystal system: tetragonal
# * space-group type: I-4m2 (119)

No. 2
# LiSiPt2 PBE optimized geometry
data_LiSiPt2
_cell_length_a 4.3777
_cell_length_b 4.3777
_cell_length_c 2.8241
_cell_angle_alpha 90.00
_cell_angle_beta 90.00
_cell_angle_gamma 98.73
_symmetry_space_group_name_H-M 'P 1'
_symmetry_Int_Tables_number 1
loop_
_symmetry_equiv_pos_as_xyz
'x,y,z'
loop_
_atom_site_label
_atom_site_type_symbol
_atom_site_fract_x
_atom_site_fract_y
_atom_site_fract_z
Si1 Si 0.5000 0.0000 0.5000
Pt1 Pt 0.0000 0.0000 0.0000
Pt2 Pt 0.5000 0.5000 0.0000
Li1 Li 0.0000 0.5000 0.5000
# * crystal system: orthorhombic
# * space-group type: Cmmm (65)

No. 3
# Li3Si4Pt4 PBE optimized geometry
data_Li3Si4Pt4
_cell_length_a 6.3983
_cell_length_b 6.3983
_cell_length_c 6.3983
_cell_angle_alpha 109.47
_cell_angle_beta 109.47
_cell_angle_gamma 109.47
_symmetry_space_group_name_H-M 'P 1'
_symmetry_Int_Tables_number 1
loop_
_symmetry_equiv_pos_as_xyz
'x,y,z'
loop_
_atom_site_label
_atom_site_type_symbol
_atom_site_fract_x
_atom_site_fract_y
_atom_site_fract_z
Li1 Li 0.5000 0.5000 0.0000
Li2 Li 0.5000 0.0000 0.5000
Li3 Li 0.0000 0.5000 0.5000
Si1 Si 0.0000 0.6382 0.0000
Si2 Si 0.6382 0.0000 0.0000
Si3 Si 0.0000 0.0000 0.6382
Si4 Si 0.3618 0.3618 0.3618
Pt1 Pt 0.0000 0.2867 0.0000
Pt2 Pt 0.0000 0.0000 0.2867
Pt3 Pt 0.2867 0.0000 0.0000
Pt4 Pt 0.7133 0.7133 0.7133
# * crystal system: cubic
# * space-group type: I-43m (217)

No. 4
# Li3SiPt PBE optimized geometry
data_Li3SiPt
_cell_length_a 4.4891
_cell_length_b 4.4891
_cell_length_c 4.4891
_cell_angle_alpha 90.00
_cell_angle_beta 90.00
_cell_angle_gamma 90.00
_symmetry_space_group_name_H-M 'P 1'
_symmetry_Int_Tables_number 1
loop_
_symmetry_equiv_pos_as_xyz
'x,y,z'
loop_
_atom_site_label
_atom_site_type_symbol
_atom_site_fract_x
_atom_site_fract_y
_atom_site_fract_z
Si1 Si 0.0000 0.0000 0.0000
Pt1 Pt 0.5000 0.5000 0.5000
Li1 Li 0.0000 0.5000 0.0000
Li2 Li 0.0000 0.0000 0.5000
Li3 Li 0.5000 0.0000 0.0000
# * crystal system: cubic
# * space-group type: Pm-3m (221)
# * ΔE to the lowest computed polymorph: 575 meV per atom

No. 5
# Li8SiPt2 PBE optimized geometry
data_Li8SiPt2
_cell_length_a 4.1702
_cell_length_b 7.7906
_cell_length_c 6.6134
_cell_angle_alpha 53.91
_cell_angle_beta 89.98
_cell_angle_gamma 89.97
_symmetry_space_group_name_H-M 'P 1'
_symmetry_Int_Tables_number 1
loop_
_symmetry_equiv_pos_as_xyz
'x,y,z'
loop_
_atom_site_label
_atom_site_type_symbol
_atom_site_fract_x
_atom_site_fract_y
_atom_site_fract_z
Li1 Li 0.9995 0.0342 0.2648
Li2 Li 0.9995 0.2990 0.7352
Li3 Li 0.4995 0.3373 0.0000
Li4 Li 0.5000 0.7545 0.4910
Li5 Li 0.5000 0.2455 0.5090
Li6 Li 0.5005 0.6627 0.0000
Li7 Li 0.0005 0.7010 0.2648
Li8 Li 0.0005 0.9658 0.7352
Si1 Si 0.5000 0.0000 0.0000
Pt1 Pt 0.0000 0.3761 0.2478
Pt2 Pt 0.0000 0.6239 0.7522
# * crystal system: orthorhombic
# * space-group type: Cmmm (65)

No. 6
# LiSiPt PBE optimized geometry
data_LiSiPt
_cell_length_a 4.7990
_cell_length_b 6.9239
_cell_length_c 6.9240
_cell_angle_alpha 77.06
_cell_angle_beta 73.57
_cell_angle_gamma 73.57
_symmetry_space_group_name_H-M 'P 1'
_symmetry_Int_Tables_number 1
loop_
_symmetry_equiv_pos_as_xyz
'x,y,z'
loop_
_atom_site_label
_atom_site_type_symbol
_atom_site_fract_x
_atom_site_fract_y
_atom_site_fract_z
Li1 Li 0.1807 0.6640 0.9141
Li2 Li 0.8195 0.8359 0.5860
Li3 Li 0.8193 0.3360 0.0859
Li4 Li 0.1805 0.1641 0.4140
Pt1 Pt 0.1275 0.4271 0.6771
Pt2 Pt 0.1275 0.9271 0.1771
Pt3 Pt 0.8725 0.5729 0.3229
Pt4 Pt 0.8725 0.0729 0.8229
Si1 Si 0.6378 0.4059 0.6559
Si2 Si 0.6378 0.9059 0.1559
Si3 Si 0.3622 0.5941 0.3441
Si4 Si 0.3622 0.0941 0.8441
# * crystal system: monoclinic
# * space-group type: P2_1/m (11)

Number 1: E -5.459 eV per atom. Number 2: E -5.533 eV per atom. Number 3: E -5.354 eV per atom. Number 4: E -2.951 eV per atom. Number 5: E -3.310 eV per atom. Number 6: E -5.048 eV per atom.